Material: K2CdCoF6
Method: DFT, PBE+U
State: optimized geometry

Cell lengths 6.068, 6.074, 8.571 Å; angles 90.00, 90.00, 90.00 degrees
Space group Immm (No. 71)
Unique sites:
K1 0.000 0.000 0.248 [4 per cell]
Cd1 0.000 0.500 0.000 [2 per cell]
Co1 0.000 0.500 0.500 [2 per cell]
F1 0.000 0.500 0.261 [4 per cell]
F2 0.241 0.262 0.500 [8 per cell]

Summary:
* final energy: -87.7 eV for the cell shown
* DOS(E_F): 0.000 states/eV per atom
* size of the total moment: 3.000 μB per formula unit